1.
LaNdDyEr: relaxed, PBE.

## Properties
* Fermi-level density of states: 1.725 states/eV per atom
* E_tot: -18.46 eV/cell
* symmetry: Cm

Unit cell a=3.811 b=5.932 c=6.961 alpha=115.22 beta=73.51 gamma=90.00
Atoms (fractional coordinates):
La 0.384 0.136 0.272
Nd 0.692 0.403 0.806
Dy 0.199 0.881 0.762
Er 0.911 0.645 0.290



2.
LaNd2DyEr4: relaxed, PBE.

## Properties
* Fermi-level density of states: 2.487 states/eV per atom
* E_tot: -68.11 eV/cell
* symmetry: P-1

Unit cell a=9.513 b=9.520 c=11.849 alpha=128.50 beta=128.52 gamma=88.24
Atoms (fractional coordinates):
La 0.500 0.500 0.500
La 0.000 0.000 0.000
Nd 0.500 0.000 0.000
Nd 0.500 0.000 0.500
Nd 0.000 0.000 0.500
Nd 0.500 0.500 0.000
Dy 0.000 0.500 0.000
Dy 0.000 0.500 0.500
Er 0.248 0.751 0.000
Er 0.749 0.252 0.500
Er 0.251 0.748 0.500
Er 0.752 0.249 0.000
Er 0.752 0.749 0.999
Er 0.751 0.748 0.501
Er 0.249 0.252 0.499
Er 0.248 0.251 0.001



3.
LaNd6Dy2Er: relaxed, PBE.

## Properties
* Fermi-level density of states: 1.440 states/eV per atom
* E_tot: -92.33 eV/cell
* symmetry: C2/c

Unit cell a=9.735 b=8.975 c=8.975 alpha=117.18 beta=93.58 gamma=93.58
Atoms (fractional coordinates):
La 0.250 0.972 0.028
La 0.750 0.028 0.972
Nd 0.055 0.118 0.756
Nd 0.445 0.244 0.882
Nd 0.945 0.882 0.244
Nd 0.555 0.756 0.118
Nd 0.315 0.991 0.439
Nd 0.185 0.561 0.009
Nd 0.685 0.009 0.561
Nd 0.815 0.439 0.991
Nd 0.118 0.705 0.488
Nd 0.382 0.512 0.295
Nd 0.882 0.295 0.512
Nd 0.618 0.488 0.705
Dy 0.451 0.798 0.698
Dy 0.049 0.302 0.202
Dy 0.549 0.202 0.302
Dy 0.951 0.698 0.798
Er 0.250 0.411 0.589
Er 0.750 0.589 0.411



4.
LaNdDyEr2: relaxed, PBE.

## Properties
* Fermi-level density of states: 1.412 states/eV per atom
* E_tot: -43.40 eV/cell
* symmetry: Cmcm

Unit cell a=6.447 b=6.442 c=8.995 alpha=110.98 beta=90.00 gamma=90.00
Atoms (fractional coordinates):
La 0.250 0.660 0.319
La 0.750 0.340 0.681
Nd 0.250 0.845 0.689
Nd 0.750 0.155 0.311
Dy 0.750 0.728 0.456
Dy 0.250 0.272 0.544
Er 0.500 0.253 0.000
Er 0.000 0.747 0.000
Er 0.500 0.747 0.000
Er 0.000 0.253 0.000



5.
LaNd2Dy2Er: relaxed, PBE.

## Properties
* Fermi-level density of states: 1.461 states/eV per atom
* E_tot: -55.74 eV/cell
* symmetry: Pnnm

Unit cell a=5.694 b=9.936 c=7.066 alpha=90.00 beta=90.00 gamma=90.00
Atoms (fractional coordinates):
La 0.000 0.000 0.000
La 0.500 0.500 0.500
Nd 0.500 0.833 0.253
Nd 0.500 0.167 0.747
Nd 0.000 0.667 0.753
Nd 0.000 0.333 0.247
Dy 0.500 0.167 0.251
Dy 0.000 0.667 0.249
Dy 0.500 0.833 0.749
Dy 0.000 0.333 0.751
Er 0.500 0.500 0.000
Er 0.000 0.000 0.500



6.
LaNdDy2Er5: relaxed, PBE.

## Properties
* Fermi-level density of states: 1.248 states/eV per atom
* E_tot: -78.54 eV/cell
* symmetry: I4/mcm

Unit cell a=8.816 b=8.816 c=9.788 alpha=116.77 beta=116.77 gamma=90.00
Atoms (fractional coordinates):
La 0.250 0.250 0.500
La 0.750 0.750 0.500
Nd 0.250 0.750 0.500
Nd 0.750 0.250 0.500
Dy 0.115 0.385 0.000
Dy 0.615 0.115 0.000
Dy 0.385 0.885 0.000
Dy 0.885 0.615 0.000
Er 0.927 0.427 0.263
Er 0.665 0.165 0.737
Er 0.073 0.573 0.737
Er 0.165 0.073 0.737
Er 0.573 0.665 0.737
Er 0.835 0.927 0.263
Er 0.427 0.335 0.263
Er 0.335 0.835 0.263
Er 0.500 0.500 0.000
Er 0.000 0.000 0.000



7.
La4NdDy2Er: relaxed, PBE.

## Properties
* Fermi-level density of states: 1.675 states/eV per atom
* E_tot: -37.57 eV/cell
* symmetry: P2/m

Unit cell a=5.994 b=6.001 c=9.782 alpha=52.18 beta=90.00 gamma=90.00
Atoms (fractional coordinates):
La 0.000 0.759 0.742
La 0.000 0.241 0.258
La 0.500 0.742 0.258
La 0.500 0.258 0.742
Nd 0.500 0.500 0.000
Dy 0.000 0.000 0.000
Dy 0.500 0.000 0.500
Er 0.000 0.500 0.500



8.
LaNdDy2Er: relaxed, PBE.

## Properties
* Fermi-level density of states: 1.568 states/eV per atom
* E_tot: -43.40 eV/cell
* symmetry: Cmcm

Unit cell a=6.455 b=6.459 c=9.020 alpha=110.98 beta=90.00 gamma=90.00
Atoms (fractional coordinates):
La 0.250 0.661 0.322
La 0.750 0.339 0.678
Nd 0.250 0.845 0.689
Nd 0.750 0.155 0.311
Dy 0.500 0.250 0.000
Dy 0.000 0.750 0.000
Dy 0.500 0.750 0.000
Dy 0.000 0.250 0.000
Er 0.750 0.751 0.501
Er 0.250 0.249 0.499



9.
LaNd3Dy2Er6: relaxed, PBE.

## Properties
* Fermi-level density of states: 1.200 states/eV per atom
* E_tot: -55.58 eV/cell
* symmetry: C2/m

Unit cell a=6.207 b=6.207 c=11.787 alpha=95.03 beta=95.03 gamma=119.98
Atoms (fractional coordinates):
La 0.000 0.000 0.000
Nd 0.167 0.833 0.500
Nd 0.833 0.167 0.500
Nd 0.500 0.500 0.500
Dy 0.333 0.667 0.000
Dy 0.667 0.333 0.000
Er 0.917 0.582 0.751
Er 0.749 0.749 0.249
Er 0.083 0.418 0.249
Er 0.582 0.917 0.751
Er 0.251 0.251 0.751
Er 0.418 0.083 0.249



10.
La2Nd4Dy2Er: relaxed, PBE.

## Properties
* Fermi-level density of states: 1.384 states/eV per atom
* E_tot: -42.62 eV/cell
* symmetry: C2/m

Unit cell a=3.687 b=9.705 c=9.765 alpha=115.15 beta=90.00 gamma=100.95
Atoms (fractional coordinates):
La 0.335 0.670 0.002
La 0.665 0.330 0.998
Nd 0.814 0.628 0.666
Nd 0.186 0.372 0.334
Nd 0.519 0.037 0.335
Nd 0.481 0.963 0.665
Dy 0.852 0.704 0.334
Dy 0.148 0.296 0.666
Er 0.000 0.000 0.000



11.
LaNd2DyEr: relaxed, PBE.

## Properties
* Fermi-level density of states: 1.448 states/eV per atom
* E_tot: -44.48 eV/cell
* symmetry: P2/c

Unit cell a=6.516 b=8.649 c=6.328 alpha=98.66 beta=90.00 gamma=90.00
Atoms (fractional coordinates):
La 0.000 0.000 0.000
La 0.000 0.000 0.500
Nd 0.687 0.686 0.799
Nd 0.687 0.314 0.701
Nd 0.313 0.686 0.299
Nd 0.313 0.314 0.201
Dy 0.555 0.000 0.250
Dy 0.445 0.000 0.750
Er 0.165 0.500 0.750
Er 0.835 0.500 0.250



12.
LaNd2DyEr2: relaxed, PBE.

## Properties
* Fermi-level density of states: 1.527 states/eV per atom
* E_tot: -55.62 eV/cell
* symmetry: Pnnm

Unit cell a=5.695 b=9.927 c=7.058 alpha=90.00 beta=90.00 gamma=90.00
Atoms (fractional coordinates):
La 0.000 0.000 0.000
La 0.500 0.500 0.500
Nd 0.500 0.833 0.253
Nd 0.500 0.167 0.747
Nd 0.000 0.667 0.753
Nd 0.000 0.333 0.247
Dy 0.500 0.500 0.000
Dy 0.000 0.000 0.500
Er 0.500 0.166 0.250
Er 0.000 0.666 0.250
Er 0.500 0.834 0.750
Er 0.000 0.334 0.750



13.
La2NdDy2Er: relaxed, PBE.

## Properties
* Fermi-level density of states: 1.666 states/eV per atom
* E_tot: -56.02 eV/cell
* symmetry: Pmma

Unit cell a=5.739 b=7.128 c=9.918 alpha=90.00 beta=90.00 gamma=90.00
Atoms (fractional coordinates):
La 0.500 0.008 0.000
La 0.000 0.258 0.179
La 0.500 0.508 0.000
La 0.000 0.758 0.821
Nd 0.500 0.257 0.658
Nd 0.500 0.757 0.342
Dy 0.000 0.258 0.834
Dy 0.500 0.257 0.334
Dy 0.000 0.758 0.166
Dy 0.500 0.757 0.666
Er 0.000 0.007 0.500
Er 0.000 0.507 0.500



14.
LaNd3DyEr: relaxed, PBE.

## Properties
* Fermi-level density of states: 1.639 states/eV per atom
* E_tot: -56.48 eV/cell
* symmetry: P2_1/m

Unit cell a=5.174 b=8.115 c=10.909 alpha=116.26 beta=90.00 gamma=90.00
Atoms (fractional coordinates):
La 0.750 0.879 0.708
La 0.250 0.121 0.292
Nd 0.250 0.627 0.456
Nd 0.750 0.870 0.041
Nd 0.750 0.378 0.207
Nd 0.750 0.373 0.544
Nd 0.250 0.622 0.793
Nd 0.250 0.130 0.959
Dy 0.250 0.127 0.627
Dy 0.750 0.873 0.373
Er 0.250 0.622 0.124
Er 0.750 0.378 0.876



15.
La6NdDyEr2: relaxed, PBE.

## Properties
* Fermi-level density of states: 1.492 states/eV per atom
* E_tot: -94.03 eV/cell
* symmetry: C2/c

Unit cell a=9.857 b=9.011 c=9.011 alpha=117.12 beta=94.40 gamma=94.40
Atoms (fractional coordinates):
La 0.053 0.107 0.757
La 0.447 0.243 0.893
La 0.947 0.893 0.243
La 0.553 0.757 0.107
La 0.309 0.996 0.438
La 0.191 0.562 0.004
La 0.691 0.004 0.562
La 0.809 0.438 0.996
La 0.120 0.702 0.490
La 0.380 0.510 0.298
La 0.880 0.298 0.510
La 0.620 0.490 0.702
Nd 0.250 0.974 0.026
Nd 0.750 0.026 0.974
Dy 0.250 0.410 0.590
Dy 0.750 0.590 0.410
Er 0.452 0.802 0.708
Er 0.048 0.292 0.198
Er 0.548 0.198 0.292
Er 0.952 0.708 0.802



16.
LaNdDy2Er2: relaxed, PBE.

## Properties
* Fermi-level density of states: 1.632 states/eV per atom
* E_tot: -53.91 eV/cell
* symmetry: Pnnm

Unit cell a=3.573 b=16.089 c=6.997 alpha=90.00 beta=90.00 gamma=90.00
Atoms (fractional coordinates):
La 0.000 0.000 0.000
La 0.500 0.500 0.500
Nd 0.500 0.500 0.000
Nd 0.000 0.000 0.500
Dy 0.500 0.159 0.251
Dy 0.000 0.659 0.249
Dy 0.500 0.841 0.749
Dy 0.000 0.341 0.751
Er 0.500 0.842 0.250
Er 0.500 0.158 0.750
Er 0.000 0.658 0.750
Er 0.000 0.342 0.250



17.
La2Nd2DyEr2: relaxed, PBE.

## Properties
* Fermi-level density of states: 1.584 states/eV per atom
* E_tot: -32.94 eV/cell
* symmetry: C2/m

Unit cell a=5.140 b=6.271 c=8.160 alpha=97.47 beta=90.00 gamma=114.19
Atoms (fractional coordinates):
La 0.142 0.284 0.425
La 0.858 0.716 0.575
Nd 0.715 0.429 0.140
Nd 0.285 0.571 0.860
Dy 0.000 0.000 0.000
Er 0.570 0.141 0.716
Er 0.430 0.859 0.284



18.
La2Nd3Dy6Er: relaxed, PBE.

## Properties
* Fermi-level density of states: 1.211 states/eV per atom
* E_tot: -56.15 eV/cell
* symmetry: C2/m

Unit cell a=6.261 b=6.261 c=11.893 alpha=95.02 beta=95.02 gamma=119.99
Atoms (fractional coordinates):
La 0.334 0.666 0.000
La 0.666 0.334 0.000
Nd 0.167 0.833 0.500
Nd 0.833 0.167 0.500
Nd 0.500 0.500 0.500
Dy 0.916 0.584 0.750
Dy 0.752 0.752 0.251
Dy 0.084 0.416 0.250
Dy 0.584 0.916 0.750
Dy 0.248 0.248 0.749
Dy 0.416 0.084 0.250
Er 0.000 0.000 0.000



19.
La2NdDyEr2: relaxed, PBE.

## Properties
* Fermi-level density of states: 1.445 states/eV per atom
* E_tot: -55.85 eV/cell
* symmetry: Pmc2_1

Unit cell a=5.656 b=6.923 c=10.357 alpha=90.00 beta=90.00 gamma=90.00
Atoms (fractional coordinates):
La 0.500 0.057 0.026
La 0.000 0.323 0.203
La 0.500 0.557 0.974
La 0.000 0.823 0.797
Nd 0.500 0.196 0.692
Nd 0.500 0.696 0.308
Dy 0.000 0.953 0.472
Dy 0.000 0.453 0.528
Er 0.000 0.313 0.869
Er 0.500 0.203 0.376
Er 0.000 0.813 0.131
Er 0.500 0.703 0.624



20.
LaNd2Dy2Er2: relaxed, PBE.

## Properties
* Fermi-level density of states: 1.630 states/eV per atom
* E_tot: -32.40 eV/cell
* symmetry: C2/m

Unit cell a=5.577 b=12.153 c=3.554 alpha=81.61 beta=90.00 gamma=103.27
Atoms (fractional coordinates):
La 0.000 0.000 0.500
Nd 0.721 0.442 0.278
Nd 0.279 0.558 0.722
Dy 0.143 0.285 0.359
Dy 0.857 0.715 0.641
Er 0.421 0.842 0.078
Er 0.579 0.158 0.922



Sequential density output: 7.530 7.831 7.177 7.428 7.641 8.179 7.121 7.334 8.148 7.233 7.132 7.694 7.485 7.287 6.951 7.784 7.435 7.738 7.526 7.785 Mg/m³